# 1
Entry from Alexandria: an optimized crystal structure of Cs3H9Rh2 (PBE).

Unit cell a=6.3452 b=6.3452 c=15.5550 alpha=90.00 beta=90.00 gamma=120.00
Last column: nearest neighbours and their distance in Å.
Element x y z (fractional)
Cs1 0.0000 0.0000 0.2500  12 H 3.21-3.38
Cs2 0.0000 0.0000 0.7500  12 H 3.21-3.38
Cs3 0.3333 0.6667 0.0891  12 H 3.18-3.41
Cs4 0.3333 0.6667 0.4109  12 H 3.18-3.41
Cs5 0.6667 0.3333 0.5891  12 H 3.18-3.41
Cs6 0.6667 0.3333 0.9109  12 H 3.18-3.41
H1 0.0870 0.5435 0.7500  2 Rh 1.86
H2 0.2231 0.4463 0.6002  1 Rh 1.61
H3 0.2231 0.4463 0.8998  1 Rh 1.61
H4 0.2231 0.7769 0.6002  1 Rh 1.61
H5 0.2231 0.7769 0.8998  1 Rh 1.61
H6 0.4463 0.2231 0.1002  1 Rh 1.61
H7 0.4463 0.2231 0.3998  1 Rh 1.61
H8 0.4565 0.5435 0.7500  2 Rh 1.86
H9 0.4565 0.9130 0.7500  2 Rh 1.86
H10 0.5435 0.0870 0.2500  2 Rh 1.86
H11 0.5435 0.4565 0.2500  2 Rh 1.86
H12 0.5537 0.7769 0.6002  1 Rh 1.61
H13 0.5537 0.7769 0.8998  1 Rh 1.61
H14 0.7769 0.2231 0.1002  1 Rh 1.61
H15 0.7769 0.2231 0.3998  1 Rh 1.61
H16 0.7769 0.5537 0.1002  1 Rh 1.61
H17 0.7769 0.5537 0.3998  1 Rh 1.61
H18 0.9130 0.4565 0.2500  2 Rh 1.86
Rh1 0.3333 0.6667 0.6681  3 H 1.61
Rh2 0.3333 0.6667 0.8319  3 H 1.61
Rh3 0.6667 0.3333 0.1681  3 H 1.61
Rh4 0.6667 0.3333 0.3319  3 H 1.61

Calculated values
space-group type = P6_3/mmc (194)

=====

# 2
Entry from Alexandria: an optimized crystal structure of CsH3Rh (PBE).

Unit cell a=3.7879 b=3.9683 c=10.1650 alpha=89.99 beta=79.59 gamma=89.98
Last column: nearest neighbours and their distance in Å.
Element x y z (fractional)
Cs1 0.1222 0.2507 0.1781  8 H 2.79-3.01
Cs2 0.8778 0.7493 0.8219  8 H 2.79-3.01
H1 0.0347 0.2492 0.6100  1 Rh 1.66
H2 0.4166 0.2491 0.7589  1 Rh 1.66
H3 0.4803 0.7467 0.5906  3 Rh 1.85-2.00
H4 0.5197 0.2533 0.4094  3 Rh 1.85-2.00
H5 0.5834 0.7509 0.2411  1 Rh 1.66
H6 0.9653 0.7508 0.3900  1 Rh 1.66
Rh1 0.4782 0.2498 0.5931  3 H 1.66-1.85
Rh2 0.5218 0.7502 0.4069  3 H 1.66-1.85

Calculated values
space-group type = P-1 (2)
energy above the lowest structure with this stoichiometry = 0.205 eV per atom

=====

# 3
Entry from Alexandria: an optimized crystal structure of Cs3H7Rh (PBE).

Unit cell a=6.0867 b=6.0867 c=6.7832 alpha=107.37 beta=107.37 gamma=94.52
Last column: nearest neighbours and their distance in Å.
Element x y z (fractional)
Cs1 0.0000 0.0000 0.0000  4 H 2.86-3.01
Cs2 0.2784 0.7312 0.4949  4 H 2.89-3.19
Cs3 0.7312 0.2784 0.4949  4 H 2.89-3.19
H1 0.2471 0.5901 0.9115  1 Rh 1.64
H2 0.3046 0.3046 0.7443  1 Rh 1.66
H3 0.3808 0.3808 0.1385  1 Rh 1.67
H4 0.5387 0.7549 0.1585  1 Rh 1.64
H5 0.5901 0.2471 0.9115  1 Rh 1.64
H6 0.6068 0.6068 0.8322  1 Rh 1.67
H7 0.7549 0.5387 0.1585  1 Rh 1.64
Rh1 0.4900 0.4900 0.9809  7 H 1.64-1.67

Calculated values
space-group type = Cm (8)

=====

# 4
Entry from Alexandria: an optimized crystal structure of CsHRuRh2 (PBE).

Unit cell a=4.1565 b=4.1565 c=4.3588 alpha=90.00 beta=90.00 gamma=90.00
Last column: nearest neighbours and their distance in Å.
Element x y z (fractional)
Cs1 0.0000 0.0000 0.0000  4 Ru 2.94, 8 Rh 3.01
H1 0.5000 0.5000 0.5000  4 Rh 2.08, 2 Ru 2.18
Ru1 0.5000 0.5000 0.0000  2 H 2.18
Rh1 0.0000 0.5000 0.5000  2 H 2.08
Rh2 0.5000 0.0000 0.5000  2 H 2.08

Calculated values
space-group type = P4/mmm (123)

=====

# 5
Entry from Alexandria: an optimized crystal structure of Cs2HRhS (PBE).

Unit cell a=6.3999 b=6.3999 c=3.3418 alpha=90.00 beta=90.00 gamma=90.00
Last column: nearest neighbours and their distance in Å.
Element x y z (fractional)
Cs1 0.0000 0.5000 0.0000  2 H 3.20, 2 Cs 3.34
Cs2 0.5000 0.0000 0.0000  2 H 3.20, 2 Cs 3.34
H1 0.0000 0.0000 0.0000  2 S 1.67
Rh1 0.5000 0.5000 0.5000  2 Rh 3.34, 8 Cs 3.61
S1 0.0000 0.0000 0.5000  2 H 1.67

Calculated values
space-group type = P4/mmm (123)

=====

# 6
Entry from Alexandria: an optimized crystal structure of CsTl2HRh (PBE).

Unit cell a=4.8240 b=4.8240 c=5.3084 alpha=90.00 beta=90.00 gamma=90.00
Last column: nearest neighbours and their distance in Å.
Element x y z (fractional)
Cs1 0.0000 0.0000 0.0000  2 H 2.65
Tl1 0.0000 0.5000 0.5000  2 H 2.41
Tl2 0.5000 0.0000 0.5000  2 H 2.41
H1 0.0000 0.0000 0.5000  4 Tl 2.41, 2 Cs 2.65
Rh1 0.5000 0.5000 0.0000  4 Cs 3.41, 8 Tl 3.59

Calculated values
space-group type = P4/mmm (123)

=====

# 7
Entry from Alexandria: an optimized crystal structure of Cs5H12Ru2 (PBE).

Unit cell a=7.6964 b=7.6964 c=6.9923 alpha=101.00 beta=101.00 gamma=53.04
Last column: nearest neighbours and their distance in Å.
Element x y z (fractional)
Cs1 0.0000 0.0000 0.0000  6 H 2.91-2.93
Cs2 0.2378 0.2378 0.4616  10 H 2.90-3.18
Cs3 0.3672 0.3672 0.0155  5 H 2.84-3.08
Cs4 0.6328 0.6328 0.9845  5 H 2.84-3.08
Cs5 0.7622 0.7622 0.5384  10 H 2.90-3.18
H1 0.0242 0.0242 0.4241  1 H 1.37
H2 0.1177 0.6628 0.3270  1 Ru 1.73
H3 0.2098 0.6549 0.6812  1 Ru 1.73
H4 0.3372 0.8823 0.6730  1 Ru 1.73
H5 0.3451 0.7902 0.3188  1 Ru 1.73
H6 0.4516 0.4516 0.4287  1 H 1.49
H7 0.5484 0.5484 0.5713  1 H 1.49
H8 0.6549 0.2098 0.6812  1 Ru 1.73
H9 0.6628 0.1177 0.3270  1 Ru 1.73
H10 0.7902 0.3451 0.3188  1 Ru 1.73
H11 0.8823 0.3372 0.6730  1 Ru 1.73
H12 0.9758 0.9758 0.5759  1 H 1.37
Ru1 0.2537 0.7463 0.5000  8 H 1.73-1.87
Ru2 0.7463 0.2537 0.5000  8 H 1.73-1.87

Calculated values
space-group type = C2/m (12)

=====

# 8
Entry from Alexandria: an optimized crystal structure of Cs3H8Ru (PBE).

Unit cell a=6.5070 b=6.5070 c=6.5070 alpha=115.75 beta=115.75 gamma=97.53
Last column: nearest neighbours and their distance in Å.
Element x y z (fractional)
Cs1 0.0000 0.0000 0.0000  8 H 3.12-3.27
Cs2 0.2500 0.7500 0.5000  8 H 2.96-3.09
Cs3 0.7500 0.2500 0.5000  8 H 2.96-3.09
H1 0.2430 0.2430 0.7975  1 Ru 1.66
H2 0.2802 0.6171 0.0000  1 Ru 1.71, 1 H 1.89
H3 0.3829 0.3829 0.6631  1 Ru 1.71, 1 H 1.89
H4 0.4455 0.4455 0.2025  1 Ru 1.66
H5 0.5545 0.7570 0.0000  1 Ru 1.66
H6 0.6171 0.2802 0.0000  1 Ru 1.71, 1 H 1.89
H7 0.7198 0.7198 0.3369  1 Ru 1.71, 1 H 1.89
H8 0.7570 0.5545 0.0000  1 Ru 1.66
Ru1 0.5000 0.5000 0.0000  8 H 1.66-1.71

Calculated values
space-group type = I-42m (121)

=====

Calculated E_tot (eV for the cell shown), listed in the same order as above: -102.968, -36.777, -35.008, -22.706, -15.293, -13.323, -64.510, -40.253
Calculated volume (Å³ per atom), listed in the same order as above: 19.4, 15.0, 20.5, 15.1, 27.4, 24.7, 17.0, 17.1
Calculated spin magnetization (μB/f.u.), listed in the same order as above: 0.09, 0.00, 0.00, 0.00, 0.97, 0.00, 0.00, 0.06